1.
Material: Ge3AsRh
Method: DFT, PBE-GGA
State: relaxed

## Properties
For the mass density, the calculation gives 6.07 Mg/m³. The calculation puts the formation energy at 1.02 eV/f.u. For the calculated total energy, the calculation gives -0.1825 hartree per atom.

a = 4.765 Å, b = 4.765 Å, c = 4.765 Å
α = 90.00°, β = 90.00°, γ = 90.00°
Space group Pm-3m (No. 221)
Unique sites:
1 Ge 0.000 0.000 0.500 (multiplicity 3)
2 As 0.500 0.500 0.500 (multiplicity 1)
3 Rh 0.000 0.000 0.000 (multiplicity 1)

***

2.
Material: GeAs2Rh4
Method: DFT, PBE-GGA
State: relaxed

## Properties
For the mass density, the calculation gives 8.16 Mg/m³. The calculation puts the formation energy at 2.51 eV/f.u. For the calculated total energy, the calculation gives -0.2142 hartree per atom.

a = 4.558 Å, b = 4.558 Å, c = 12.419 Å
α = 90.00°, β = 90.00°, γ = 90.00°
Space group I4/mmm (No. 139)
Unique sites:
1 Ge 0.000 0.000 0.000 (multiplicity 2)
2 As 0.000 0.000 0.382 (multiplicity 4)
3 Rh 0.000 0.000 0.196 (multiplicity 4)
4 Rh 0.000 0.500 0.000 (multiplicity 4)

***

3.
Material: GeAs2Rh
Method: DFT, PBE-GGA
State: relaxed

## Properties
For the mass density, the calculation gives 5.93 Mg/m³. The calculation puts the formation energy at -0.32 eV/f.u. For the calculated total energy, the calculation gives -0.1983 hartree per atom.

a = 5.651 Å, b = 5.651 Å, c = 11.409 Å
α = 90.00°, β = 90.00°, γ = 90.00°
Space group I-42d (No. 122)
Unique sites:
1 Ge 0.000 0.000 0.000 (multiplicity 4)
2 As 0.227 0.250 0.625 (multiplicity 8)
3 Rh 0.000 0.000 0.500 (multiplicity 4)

***

4.
Material: GeAsRh3
Method: DFT, PBE-GGA
State: relaxed

## Properties
For the mass density, the calculation gives 7.95 Mg/m³. The calculation puts the formation energy at 2.31 eV/f.u. For the calculated total energy, the calculation gives -0.2132 hartree per atom.

a = 4.569 Å, b = 4.569 Å, c = 4.569 Å
α = 90.00°, β = 90.00°, γ = 90.00°
Space group Pm-3m (No. 221)
Unique sites:
1 Ge 0.000 0.000 0.000 (multiplicity 1)
2 As 0.500 0.500 0.500 (multiplicity 1)
3 Rh 0.000 0.500 0.500 (multiplicity 3)